--- a ---
A relaxed structure of CaNdDyY, computed with PBE.

abc: 3.6478 3.6478 10.4850
angles: 89.99 90.01 90.00
With the nearest neighbours (Å) after each atom.
Fractional positions:
1 Ca 0.1462 0.8538 0.7260  4 Ca 3.65, 4 Y 3.78, 4 Nd 3.84-3.85
2 Nd 0.6463 0.3537 0.4539  4 Dy 3.57, 4 Nd 3.65, 4 Ca 3.84-3.85
3 Dy 0.1463 0.8537 0.2190  4 Y 3.52-3.53, 4 Nd 3.57, 4 Dy 3.65
4 Y 0.6462 0.3538 0.9899  4 Dy 3.52-3.53, 4 Y 3.65, 4 Ca 3.78

Summary:
total moment: 0.002 μB/f.u.
crystal system: tetragonal
mass density: 5.19 g/cm3



--- b ---
A relaxed structure of CaNdDyY, computed with PBE.

abc: 5.8047 5.8047 5.8047
angles: 60.00 60.00 60.00
With the nearest neighbours (Å) after each atom.
Fractional positions:
1 Y 0.5000 0.5000 0.5000  4 Ca 3.55, 4 Dy 3.55
2 Ca 0.7500 0.7500 0.7500  4 Nd 3.55, 4 Y 3.55
3 Nd 0.0000 0.0000 0.0000  4 Dy 3.55, 4 Ca 3.55
4 Dy 0.2500 0.2500 0.2500  4 Nd 3.55, 4 Y 3.55

Summary:
total moment: 0.000 μB/f.u.
crystal system: cubic
mass density: 5.23 g/cm3



Top of the stability list: a, leading by 81 meV/atom.



--- a ---
A relaxed structure of CaDyNi, computed with PBE.

abc: 4.0367 3.7687 10.8128
angles: 100.17 90.00 90.00
With the nearest neighbours (Å) after each atom.
Fractional positions:
1 Ca 0.7500 0.3147 0.6307  1 Ni 3.15
2 Ca 0.2500 0.6853 0.3693  1 Ni 3.15
3 Dy 0.2500 0.9324 0.8658  6 Ni 2.84-2.90
4 Dy 0.7500 0.0676 0.1342  6 Ni 2.84-2.90
5 Ni 0.2500 0.5371 0.0729  2 Ni 2.55, 4 Dy 2.84
6 Ni 0.7500 0.4629 0.9271  2 Ni 2.55, 4 Dy 2.84

Summary:
total moment: 0.000 μB/f.u.
crystal system: monoclinic
mass density: 5.36 g/cm3



--- b ---
A relaxed structure of CaDyNi, computed with PBE.

abc: 3.4473 3.4473 6.8606
angles: 104.55 104.55 90.00
With the nearest neighbours (Å) after each atom.
Fractional positions:
1 Ni 0.6791 0.6791 0.3582  4 Dy 2.81, 4 Ca 3.08
2 Ca 0.0324 0.0324 0.0648  4 Ni 3.08, 1 Dy 3.28, 4 Ca 3.45
3 Dy 0.2885 0.2885 0.5770  4 Ni 2.81

Summary:
total moment: 0.000 μB/f.u.
crystal system: tetragonal
mass density: 5.69 g/cm3



--- c ---
A relaxed structure of CaDyNi, computed with PBE.

abc: 4.6884 7.5356 10.0224
angles: 93.86 103.53 90.00
With the nearest neighbours (Å) after each atom.
Fractional positions:
1 Ca 0.0666 0.3160 0.1332  4 Ni 3.16-3.21, 2 Dy 3.41-3.45
2 Ca 0.4085 0.1499 0.8170  2 Ni 2.88-2.96
3 Ca 0.5915 0.8501 0.1830  2 Ni 2.88-2.96
4 Ca 0.9334 0.6840 0.8668  4 Ni 3.16-3.21, 2 Dy 3.41-3.45
5 Dy 0.2100 0.6118 0.4201  4 Ni 2.66-2.81
6 Dy 0.7811 0.8805 0.5621  2 Ni 2.68
7 Dy 0.7900 0.3882 0.5799  4 Ni 2.66-2.81
8 Dy 0.2189 0.1195 0.4379  2 Ni 2.68
9 Ni 0.3434 0.4934 0.6868  1 Ni 2.33
10 Ni 0.6620 0.1992 0.3240  1 Ni 2.33
11 Ni 0.6566 0.5066 0.3132  1 Ni 2.33
12 Ni 0.3380 0.8008 0.6760  1 Ni 2.33

Summary:
total moment: 0.000 μB/f.u.
crystal system: monoclinic
mass density: 5.05 g/cm3



Top of the stability list: a, leading by 119 meV/atom.



--- a ---
A relaxed structure of CaDyO2, computed with PBE.

abc: 3.3820 3.3820 5.9822
angles: 73.58 73.58 60.00
With the nearest neighbours (Å) after each atom.
Fractional positions:
1 Ca 0.0000 0.0000 0.0000  6 O 2.42
2 Dy 0.5000 0.5000 0.5000  6 O 2.40
3 O 0.2491 0.2491 0.2526  3 Dy 2.40, 3 Ca 2.42
4 O 0.7509 0.7509 0.7474  3 Dy 2.40, 3 Ca 2.42

Summary:
total moment: 0.000 μB/f.u.
crystal system: trigonal
mass density: 6.95 g/cm3



--- b ---
A relaxed structure of CaDyO2, computed with PBE.

abc: 3.3487 3.3487 6.1987
angles: 74.33 74.33 60.00
With the nearest neighbours (Å) after each atom.
Fractional positions:
1 Ca 0.4950 0.4950 0.5150  6 O 2.41-2.54
2 Dy 0.6697 0.6697 0.9910  6 O 2.37-2.41
3 O 0.0805 0.0805 0.7584  3 Dy 2.37, 3 Ca 2.41
4 O 0.2548 0.2548 0.2356  3 Dy 2.41, 3 Ca 2.54

Summary:
total moment: 0.000 μB/f.u.
crystal system: trigonal
mass density: 6.81 g/cm3



Top of the stability list: a, leading by 145 meV/atom.



--- a ---
A relaxed structure of CaDy2Pa, computed with PBE.

abc: 3.4588 3.4588 12.2716
angles: 81.90 81.90 60.00
With the nearest neighbours (Å) after each atom.
Fractional positions:
1 Ca 0.0000 0.0000 0.0000  2 Dy 3.37, 6 Ca 3.46
2 Pa 0.5000 0.5000 0.5000  6 Dy 3.35, 6 Pa 3.46
3 Dy 0.0927 0.0927 0.7219  3 Pa 3.35, 1 Ca 3.37, 6 Dy 3.46
4 Dy 0.9073 0.9073 0.2781  3 Pa 3.35, 1 Ca 3.37, 6 Dy 3.46

Summary:
total moment: 0.000 μB/f.u.
crystal system: trigonal
mass density: 7.89 g/cm3



--- b ---
A relaxed structure of CaDy2Pa, computed with PBE.

abc: 3.4938 3.4938 10.3491
angles: 90.00 90.00 90.00
With the nearest neighbours (Å) after each atom.
Fractional positions:
1 Ca 0.5000 0.5000 0.5000  4 Ca 3.49, 8 Dy 3.82
2 Pa 0.5000 0.5000 0.0000  8 Dy 3.35, 4 Pa 3.49
3 Dy 0.0000 0.0000 0.7817  4 Pa 3.35, 4 Dy 3.49
4 Dy 0.0000 0.0000 0.2183  4 Pa 3.35, 4 Dy 3.49

Summary:
total moment: 0.001 μB/f.u.
crystal system: tetragonal
mass density: 7.84 g/cm3



Top of the stability list: b, leading by 77 meV/atom.



--- a ---
A relaxed structure of CaDyPtPb, computed with PBE.

abc: 5.1926 5.1926 5.1926
angles: 60.00 60.00 60.00
With the nearest neighbours (Å) after each atom.
Fractional positions:
1 Pb 0.2500 0.2500 0.2500  4 Ca 3.18, 4 Dy 3.18
2 Ca 0.5000 0.5000 0.5000  4 Pb 3.18, 4 Pt 3.18
3 Pt 0.7500 0.7500 0.7500  4 Ca 3.18, 4 Dy 3.18
4 Dy 0.0000 0.0000 0.0000  4 Pt 3.18, 4 Pb 3.18

Summary:
total moment: 0.000 μB/f.u.
crystal system: cubic
mass density: 10.15 g/cm3



--- b ---
A relaxed structure of CaDyPtPb, computed with PBE.

abc: 3.5464 3.5464 8.0688
angles: 90.00 90.00 90.00
With the nearest neighbours (Å) after each atom.
Fractional positions:
1 Ca 0.5000 0.5000 0.7892  4 Pt 3.16, 1 Dy 3.42, 4 Pb 3.43
2 Dy 0.5000 0.5000 0.3650  4 Pt 2.92
3 Pt 0.0000 0.0000 0.5514  4 Dy 2.92, 4 Ca 3.16
4 Pb 0.0000 0.0000 0.0791  4 Dy 3.41, 4 Ca 3.43, 4 Pb 3.55, 1 Pt 3.81

Summary:
total moment: 0.000 μB/f.u.
crystal system: tetragonal
mass density: 9.90 g/cm3



Top of the stability list: b, leading by 153 meV/atom.



--- a ---
A relaxed structure of CaDyPd2, computed with PBE.

abc: 3.5045 3.5045 7.1332
angles: 90.00 90.00 90.00
With the nearest neighbours (Å) after each atom.
Fractional positions:
1 Ca 0.5000 0.5000 0.5000  8 Pd 3.15, 4 Ca 3.50
2 Pd 0.0000 0.0000 0.7721  4 Dy 2.96, 4 Ca 3.15, 1 Pd 3.25
3 Pd 0.0000 0.0000 0.2279  4 Dy 2.96, 4 Ca 3.15, 1 Pd 3.25
4 Dy 0.5000 0.5000 0.0000  8 Pd 2.96

Summary:
total moment: 0.000 μB/f.u.
crystal system: tetragonal
mass density: 7.87 g/cm3



--- b ---
A relaxed structure of CaDyPd2, computed with PBE.

abc: 4.9576 4.9576 4.9576
angles: 60.00 60.00 60.00
With the nearest neighbours (Å) after each atom.
Fractional positions:
1 Ca 0.5000 0.5000 0.5000  8 Pd 3.04
2 Pd 0.2500 0.2500 0.2500  4 Ca 3.04, 4 Dy 3.04
3 Pd 0.7500 0.7500 0.7500  4 Dy 3.04, 4 Ca 3.04
4 Dy 0.0000 0.0000 0.0000  8 Pd 3.04

Summary:
total moment: 0.000 μB/f.u.
crystal system: cubic
mass density: 8.01 g/cm3



Top of the stability list: a, leading by 50 meV/atom.



--- a ---
A relaxed structure of CaPmDy2, computed with PBE.

abc: 5.1820 5.1075 5.1075
angles: 90.00 90.00 90.00
With the nearest neighbours (Å) after each atom.
Fractional positions:
1 Ca 0.5000 0.0000 0.0000  4 Pm 3.61, 8 Dy 3.64
2 Pm 0.5000 0.5000 0.5000  4 Ca 3.61, 8 Dy 3.64
3 Dy 0.0000 0.0000 0.5000  4 Dy 3.61, 4 Ca 3.64, 4 Pm 3.64
4 Dy 0.0000 0.5000 0.0000  4 Dy 3.61, 4 Pm 3.64, 4 Ca 3.64

Summary:
total moment: 0.000 μB/f.u.
crystal system: tetragonal
mass density: 6.27 g/cm3



--- b ---
A relaxed structure of CaPmDy2, computed with PBE.

abc: 3.6481 3.6481 10.3709
angles: 90.00 90.00 90.00
With the nearest neighbours (Å) after each atom.
Fractional positions:
1 Ca 0.5000 0.5000 0.5000  4 Ca 3.65, 8 Dy 3.78
2 Pm 0.5000 0.5000 0.0000  8 Dy 3.53, 4 Pm 3.65
3 Dy 0.0000 0.0000 0.7670  4 Pm 3.53, 4 Dy 3.65, 4 Ca 3.78
4 Dy 0.0000 0.0000 0.2330  4 Pm 3.53, 4 Dy 3.65, 4 Ca 3.78

Summary:
total moment: 0.001 μB/f.u.
crystal system: tetragonal
mass density: 6.14 g/cm3



Top of the stability list: b, leading by 44 meV/atom.



--- a ---
A relaxed structure of CaPmDy2, computed with PBE.

abc: 3.5687 3.5687 12.7913
angles: 81.98 81.98 60.00
With the nearest neighbours (Å) after each atom.
Fractional positions:
1 Ca 0.0000 0.0000 0.0000  2 Dy 3.43, 6 Ca 3.57
2 Pm 0.5000 0.5000 0.5000  6 Dy 3.54, 6 Pm 3.57
3 Dy 0.0905 0.0905 0.7285  1 Ca 3.43, 3 Pm 3.54, 6 Dy 3.57
4 Dy 0.9095 0.9095 0.2715  1 Ca 3.43, 3 Pm 3.54, 6 Dy 3.57

Summary:
total moment: 0.000 μB/f.u.
crystal system: trigonal
mass density: 6.08 g/cm3



--- b ---
A relaxed structure of CaPmDy2, computed with PBE.

abc: 5.7766 5.7766 5.7766
angles: 60.00 60.00 60.00
With the nearest neighbours (Å) after each atom.
Fractional positions:
1 Ca 0.0000 0.0000 0.0000  8 Dy 3.54
2 Pm 0.5000 0.5000 0.5000  8 Dy 3.54
3 Dy 0.2500 0.2500 0.2500  4 Ca 3.54, 4 Pm 3.54
4 Dy 0.7500 0.7500 0.7500  4 Pm 3.54, 4 Ca 3.54

Summary:
total moment: 0.447 μB/f.u.
crystal system: cubic
mass density: 6.21 g/cm3



--- c ---
A relaxed structure of CaPmDy2, computed with PBE.

abc: 3.6214 3.6214 12.2172
angles: 81.48 81.48 60.00
With the nearest neighbours (Å) after each atom.
Fractional positions:
1 Ca 0.5005 0.5005 0.4984  6 Ca 3.62, 6 Dy 3.76-3.80
2 Pm 0.6662 0.6662 0.0013  6 Dy 3.54-3.56, 6 Pm 3.62
3 Dy 0.0794 0.0794 0.7617  3 Pm 3.56, 6 Dy 3.62, 3 Ca 3.80
4 Dy 0.2538 0.2538 0.2385  3 Pm 3.54, 6 Dy 3.62, 3 Ca 3.76

Summary:
total moment: 0.000 μB/f.u.
crystal system: trigonal
mass density: 6.20 g/cm3



Top of the stability list: c, leading by 100 meV/atom.